First-principles (PBE-GGA) data for a relaxed SiIrRu crystal, as listed in the Alexandria database.

## Properties
E_tot = -8.161 eV/atom
Raw formation energy = -0.31 eV/atom

a = 5.6420 Å, b = 5.6420 Å, c = 5.6420 Å
α = 90.00°, β = 90.00°, γ = 90.00°
Last column: nearest neighbours and their distance in Å.
Space group F-43m (No. 216)
Unique sites:
Si: 0.0000 0.0000 0.0000 [4 per cell]  4 Ru 2.44, 4 Ir 2.44
Ir: 0.2500 0.2500 0.7500 [4 per cell]  4 Si 2.44
Ru: 0.2500 0.2500 0.2500 [4 per cell]  4 Si 2.44